# 1
VASP calculation (PBE) on a relaxed DyTm2V crystal.

As for the energy above the most stable polymorph in this dataset: 141 meV per atom. The value obtained for the formation energy is 0.33 eV/atom. For the total energy, the calculation gives -5.33 eV/atom.

The space group is R-3m (No. 166, hexagonal axes) and the conventional cell measures 3.4149, 3.4149 and 31.3426 Å, with angles of 90.00, 90.00 and 120.00 degrees. The inequivalent atoms are Dy at (0.0000, 0.0000, 0.0000), Tm at (0.0000, 0.0000, 0.2379) and V at (0.0000, 0.0000, 0.5000).

---

# 2
VASP calculation (PBE) on a relaxed DyTm2V crystal.

As for the energy above the most stable polymorph in this dataset: 0 meV per atom. The value obtained for the formation energy is 0.19 eV/atom. For the total energy, the calculation gives -5.47 eV/atom.

The space group is P4/mmm (No. 123) and the conventional cell measures 3.551, 3.551 and 8.465 Å, with angles of 90.00, 90.00 and 90.00 degrees. The inequivalent atoms are Dy at (0.000, 0.000, 0.000), Tm at (0.500, 0.500, 0.300) and V at (0.000, 0.000, 0.500).

---

# 3
VASP calculation (PBE) on a relaxed DyTmV4 crystal.

The value obtained for the formation energy is 0.35 eV/atom. For the total energy, the calculation gives -7.24 eV/atom.

The space group is F-43m (No. 216) and the conventional cell measures 7.583, 7.583 and 7.583 Å, with angles of 90.00, 90.00 and 90.00 degrees. The inequivalent atoms are Dy at (0.000, 0.000, 0.000), Tm at (0.250, 0.250, 0.250) and V at (0.124, 0.124, 0.624).

---

# 4
VASP calculation (PBE) on a relaxed DyTmW4 crystal.

The value obtained for the formation energy is 0.12 eV/atom. For the total energy, the calculation gives -10.02 eV/atom.

The space group is F-43m (No. 216) and the conventional cell measures 7.818, 7.818 and 7.818 Å, with angles of 90.00, 90.00 and 90.00 degrees. The inequivalent atoms are Dy at (0.000, 0.000, 0.000), Tm at (0.250, 0.250, 0.250) and W at (0.125, 0.125, 0.625).

---

# 5
VASP calculation (PBE) on a relaxed Dy7YTm3 crystal.

As for the energy above the most stable polymorph in this dataset: 0 meV per atom. The value obtained for the formation energy is 0.14 eV/atom. For the total energy, the calculation gives -4.60 eV/atom.

The space group is P-1 (No. 2) and the conventional cell measures 6.452, 6.587 and 8.541 Å, with angles of 99.25, 99.09 and 95.17 degrees. The inequivalent atoms are Dy at (0.000, 0.000, 0.000), Dy at (0.055, 0.709, 0.640), Dy at (0.226, 0.219, 0.713), Dy at (0.487, 0.739, 0.912), Y at (0.000, 0.500, 0.000), Tm at (0.305, 0.933, 0.341) and Tm at (0.500, 0.500, 0.500).

---

# 6
VASP calculation (PBE) on a relaxed DyY5Tm4 crystal.

As for the energy above the most stable polymorph in this dataset: 0 meV per atom. The value obtained for the formation energy is 0.05 eV/atom. For the total energy, the calculation gives -5.43 eV/atom.

The space group is P1 (No. 1) and the conventional cell measures 5.408, 7.008 and 8.726 Å, with angles of 89.95, 72.04 and 89.96 degrees. The inequivalent atoms are Dy at (0.000, 0.000, 0.000), Y at (0.200, 0.497, 0.601), Y at (0.389, 0.748, 0.222), Y at (0.610, 0.749, 0.781), Y at (0.799, 0.000, 0.402), Y at (0.998, 0.497, 0.003), Tm at (0.199, 0.000, 0.603), Tm at (0.389, 0.249, 0.222), Tm at (0.610, 0.247, 0.782) and Tm at (0.799, 0.497, 0.401).

---

# 7
VASP calculation (PBE) on a relaxed Dy6YTm crystal.

As for the energy above the most stable polymorph in this dataset: 0 meV per atom. The value obtained for the formation energy is 0.02 eV/atom. For the total energy, the calculation gives -4.80 eV/atom.

The space group is P-1 (No. 2) and the conventional cell measures 6.126, 6.131 and 7.074 Å, with angles of 89.96, 73.15 and 80.41 degrees. The inequivalent atoms are Dy at (0.000, 0.000, 0.249), Dy at (0.499, 0.750, 0.876), Dy at (0.500, 0.249, 0.626), Y at (0.000, 0.500, 0.500) and Tm at (0.000, 0.500, 0.000).

---

# 8
VASP calculation (PBE) on a relaxed Dy6Y4Tm crystal.

As for the energy above the most stable polymorph in this dataset: 18 meV per atom. The value obtained for the formation energy is 0.31 eV/atom. For the total energy, the calculation gives -4.96 eV/atom.

The space group is I-42m (No. 121) and the conventional cell measures 6.549, 6.549 and 17.100 Å, with angles of 90.00, 90.00 and 90.00 degrees. The inequivalent atoms are Dy at (0.000, 0.500, 0.000), Dy at (0.185, 0.185, 0.171), Y at (0.180, 0.180, 0.367) and Tm at (0.000, 0.000, 0.000).

---

# 9
VASP calculation (PBE) on a relaxed Dy5YTm crystal.

The value obtained for the formation energy is 1.12 eV/atom. For the total energy, the calculation gives -3.73 eV/atom.

The space group is Immm (No. 71) and the conventional cell measures 5.761, 8.607 and 11.951 Å, with angles of 90.00, 90.00 and 90.00 degrees. The inequivalent atoms are Dy at (0.000, 0.000, 0.000), Dy at (0.000, 0.177, 0.500), Dy at (0.000, 0.500, 0.254), Y at (0.000, 0.500, 0.500) and Tm at (0.000, 0.500, 0.000).

---

# 10
VASP calculation (PBE) on a relaxed Dy3Y2Tm3 crystal.

As for the energy above the most stable polymorph in this dataset: 0 meV per atom. The value obtained for the formation energy is 0.00 eV/atom. For the total energy, the calculation gives -5.01 eV/atom.

The space group is P2_1/m (No. 11) and the conventional cell measures 5.596, 14.442 and 6.245 Å, with angles of 90.00, 90.06 and 90.00 degrees. The inequivalent atoms are Dy at (0.250, 0.125, 0.170), Dy at (0.250, 0.750, 0.663), Y at (0.250, 0.624, 0.165), Tm at (0.250, 0.000, 0.665) and Tm at (0.250, 0.250, 0.667).

---

# 11
VASP calculation (PBE) on a relaxed Dy6Y2Tm5 crystal.

The value obtained for the formation energy is 0.10 eV/atom. For the total energy, the calculation gives -4.74 eV/atom.

The space group is Pbam (No. 55) and the conventional cell measures 11.585, 19.990 and 3.555 Å, with angles of 90.00, 90.00 and 90.00 degrees. The inequivalent atoms are Dy at (0.058, 0.080, 0.000), Dy at (0.083, 0.367, 0.000), Dy at (0.172, 0.631, 0.500), Y at (0.163, 0.789, 0.000), Tm at (0.000, 0.500, 0.500), Tm at (0.096, 0.225, 0.500) and Tm at (0.199, 0.949, 0.500).

---

# 12
VASP calculation (PBE) on a relaxed Dy3Y3Tm8 crystal.

The value obtained for the formation energy is 0.11 eV/atom. For the total energy, the calculation gives -4.81 eV/atom.

The space group is Immm (No. 71) and the conventional cell measures 5.552, 10.684 and 14.801 Å, with angles of 90.00, 90.00 and 90.00 degrees. The inequivalent atoms are Dy at (0.000, 0.000, 0.000), Dy at (0.000, 0.294, 0.000), Y at (0.000, 0.000, 0.500), Y at (0.000, 0.500, 0.182), Tm at (0.000, 0.159, 0.221) and Tm at (0.000, 0.342, 0.396).